Density functional theory data (PBE-GGA) for an optimized crystal structure of SrCdCuPd3.

Lattice parameters (Å, degrees): 7.115 7.115 6.204 90.00 90.00 128.89
Atoms (fractional coordinates):
Sr 0.193 0.807 0.750
Sr 0.807 0.193 0.250
Cd 0.148 0.852 0.250
Cd 0.852 0.148 0.750
Cu 0.419 0.581 0.750
Cu 0.581 0.419 0.250
Pd 0.226 0.226 0.000
Pd 0.226 0.226 0.500
Pd 0.364 0.636 0.250
Pd 0.636 0.364 0.750
Pd 0.774 0.774 0.000
Pd 0.774 0.774 0.500

Computed properties:
Space group: No. 63
Energy of formation from the pure elements in eV/f.u.: -1.39
E in eV/atom: -3.944